An optimized crystal structure of Ac2TlBiO8, computed with PBE-GGA.

Computed properties:
Formation energy from raw total energies ... -1.634 eV/atom
Space group ... P2/m

```
12
Lattice="4.555 -0.272 -0.002 -0.269 5.363 -0.005 0.004 0.009 8.248" Properties=species:S:1:pos:R:3 pbc="T T T"
Ac 2.146 2.552 6.212
Ac 2.144 2.547 2.028
Tl 0.002 0.005 4.124
Bi 0.000 0.000 0.000
O 0.025 4.028 1.691
O 2.359 4.160 8.242
O 4.262 1.065 1.692
O 4.265 1.071 6.550
O 1.930 0.940 -0.002
O 0.027 4.035 6.548
O 2.722 3.824 4.118
O 1.567 1.276 4.122
```